# SiSb2Mo

An optimized crystal structure of SiSb2Mo (PBE, Alexandria).

Cell lengths 6.974, 4.870, 3.402 Å; angles 90.28, 60.36, 122.91 degrees
Sites, in units of the cell vectors:
Mo  0.500  0.500  0.000
Sb  0.000  0.000  0.000
Sb  0.500  0.000  0.500
Si  0.000  0.500  0.500

uncorrected formation energy: 0.5657 eV per atom
space group: C2/m
electronic total energy: -22.2 eV per formula unit
total magnetization: 0.001 μB per formula unit